Model i:
# GGA-PBE La3Sn2Hg, relaxed
data_La3Sn2Hg
_chemical_formula_sum 'La6 Sn4 Hg2'
_space_group_name_H-M_alt 'P 1'
_space_group_IT_number 1
_cell_length_a 6.6625
_cell_length_b 6.4661
_cell_length_c 9.2399
_cell_angle_alpha 102.86
_cell_angle_beta 111.13
_cell_angle_gamma 90.00
loop_
_space_group_symop_operation_xyz
'x,y,z'
loop_
_atom_site_label
_atom_site_fract_x
_atom_site_fract_y
_atom_site_fract_z
La1 0.3489 0.7500 0.0000
La2 0.7163 0.9001 0.6562
La3 0.2837 0.0999 0.3438
Hg1 0.8628 0.7500 0.0000
La4 0.9399 0.4001 0.6562
Hg2 0.1372 0.2500 0.0000
Sn1 0.5515 0.5482 0.3154
Sn2 0.4485 0.4518 0.6846
La5 0.0601 0.5999 0.3438
Sn3 0.7639 0.0482 0.3154
Sn4 0.2361 0.9518 0.6846
La6 0.6511 0.2500 0.0000
# Density of states at the Fermi level in states/eV/atom: 0.711



Model ii:
# GGA-PBE La3Sn2Hg, relaxed
data_La3Sn2Hg
_chemical_formula_sum 'La12 Sn8 Hg4'
_space_group_name_H-M_alt 'P 1'
_space_group_IT_number 1
_cell_length_a 4.7793
_cell_length_b 12.3772
_cell_length_c 13.0397
_cell_angle_alpha 90.00
_cell_angle_beta 90.00
_cell_angle_gamma 90.00
loop_
_space_group_symop_operation_xyz
'x,y,z'
loop_
_atom_site_label
_atom_site_fract_x
_atom_site_fract_y
_atom_site_fract_z
Sn1 0.7500 0.4790 0.1898
La1 0.7500 0.1901 0.2957
La2 0.2500 0.6901 0.2043
Sn2 0.7500 0.3203 0.5126
Hg1 0.7500 0.8495 0.8533
Hg2 0.7500 0.6505 0.3533
La3 0.7500 0.5667 0.6290
La4 0.2500 0.0667 0.8710
La5 0.2500 0.4333 0.3710
La6 0.2500 0.3795 0.0437
Sn3 0.2500 0.9790 0.3102
Sn4 0.2500 0.6797 0.4874
La7 0.2500 0.8099 0.7043
Sn5 0.2500 0.8203 0.9874
La8 0.2500 0.1205 0.5437
La9 0.7500 0.8795 0.4563
La10 0.7500 0.9333 0.1290
Hg3 0.2500 0.3495 0.6467
Sn6 0.7500 0.0210 0.6898
Sn7 0.7500 0.1797 0.0126
La11 0.7500 0.6205 0.9563
La12 0.7500 0.3099 0.7957
Sn8 0.2500 0.5210 0.8102
Hg4 0.2500 0.1505 0.1467
# Density of states at the Fermi level in states/eV/atom: 0.774



How far above the most stable structure does each one sit? In meV per atom: model i 48; model ii 0.



Model i:
# GGA-PBE La4SnHg2, relaxed
data_La4SnHg2
_chemical_formula_sum 'La4 Sn1 Hg2'
_space_group_name_H-M_alt 'P 1'
_space_group_IT_number 1
_cell_length_a 6.0151
_cell_length_b 6.0151
_cell_length_c 8.8429
_cell_angle_alpha 70.12
_cell_angle_beta 70.12
_cell_angle_gamma 90.00
loop_
_space_group_symop_operation_xyz
'x,y,z'
loop_
_atom_site_label
_atom_site_fract_x
_atom_site_fract_y
_atom_site_fract_z
La1 0.0000 0.5000 0.0000
Hg1 0.6021 0.6021 0.7958
La2 0.8012 0.8012 0.3977
La3 0.5000 0.0000 0.0000
Sn1 0.0000 0.0000 0.0000
Hg2 0.3979 0.3979 0.2042
La4 0.1988 0.1988 0.6023
# Density of states at the Fermi level in states/eV/atom: 1.997



Model ii:
# GGA-PBE La4SnHg2, relaxed
data_La4SnHg2
_chemical_formula_sum 'La4 Sn1 Hg2'
_space_group_name_H-M_alt 'P 1'
_space_group_IT_number 1
_cell_length_a 5.4767
_cell_length_b 5.4767
_cell_length_c 9.3889
_cell_angle_alpha 73.04
_cell_angle_beta 73.04
_cell_angle_gamma 60.00
loop_
_space_group_symop_operation_xyz
'x,y,z'
loop_
_atom_site_label
_atom_site_fract_x
_atom_site_fract_y
_atom_site_fract_z
Hg1 0.2490 0.2490 0.2530
Sn1 0.0000 0.0000 0.0000
La1 0.6200 0.6200 0.1401
La2 0.8723 0.8723 0.3830
La3 0.3800 0.3800 0.8599
La4 0.1277 0.1277 0.6170
Hg2 0.7510 0.7510 0.7470
# Density of states at the Fermi level in states/eV/atom: 1.418



How far above the most stable structure does each one sit? In meV per atom: model i 285; model ii 0.



Model i:
# GGA-PBE La2Sn4Hg, relaxed
data_La2Sn4Hg
_chemical_formula_sum 'La2 Sn4 Hg1'
_space_group_name_H-M_alt 'P 1'
_space_group_IT_number 1
_cell_length_a 5.5045
_cell_length_b 5.5045
_cell_length_c 8.8471
_cell_angle_alpha 71.88
_cell_angle_beta 71.88
_cell_angle_gamma 90.00
loop_
_space_group_symop_operation_xyz
'x,y,z'
loop_
_atom_site_label
_atom_site_fract_x
_atom_site_fract_y
_atom_site_fract_z
La1 0.3740 0.3740 0.2519
Sn1 0.5000 0.0000 0.0000
Hg1 0.0000 0.0000 0.0000
La2 0.6260 0.6260 0.7481
Sn2 0.8269 0.8269 0.3461
Sn3 0.1731 0.1731 0.6539
Sn4 0.0000 0.5000 0.0000
# Density of states at the Fermi level in states/eV/atom: 0.385



Model ii:
# GGA-PBE La2Sn4Hg, relaxed
data_La2Sn4Hg
_chemical_formula_sum 'La2 Sn4 Hg1'
_space_group_name_H-M_alt 'P 1'
_space_group_IT_number 1
_cell_length_a 6.5922
_cell_length_b 6.5922
_cell_length_c 6.7282
_cell_angle_alpha 119.29
_cell_angle_beta 119.29
_cell_angle_gamma 90.04
loop_
_space_group_symop_operation_xyz
'x,y,z'
loop_
_atom_site_label
_atom_site_fract_x
_atom_site_fract_y
_atom_site_fract_z
Sn1 0.7856 0.2857 0.0714
Sn2 0.7859 0.7859 0.0716
La1 0.2858 0.7855 0.5714
Hg1 0.7858 0.7858 0.5715
Sn3 0.2857 0.2857 0.0712
La2 0.7855 0.2858 0.5714
Sn4 0.2857 0.7856 0.0714
# Density of states at the Fermi level in states/eV/atom: 0.637



How far above the most stable structure does each one sit? In meV per atom: model i 407; model ii 0.



Model i:
# GGA-PBE LaSn4Hg, relaxed
data_LaSn4Hg
_chemical_formula_sum 'La2 Sn8 Hg2'
_space_group_name_H-M_alt 'P 1'
_space_group_IT_number 1
_cell_length_a 4.6415
_cell_length_b 6.7359
_cell_length_c 11.3457
_cell_angle_alpha 72.73
_cell_angle_beta 90.00
_cell_angle_gamma 90.00
loop_
_space_group_symop_operation_xyz
'x,y,z'
loop_
_atom_site_label
_atom_site_fract_x
_atom_site_fract_y
_atom_site_fract_z
Sn1 0.7500 0.0086 0.9164
Hg1 0.7500 0.1188 0.2625
Sn2 0.2500 0.8001 0.4119
Hg2 0.2500 0.8812 0.7375
La1 0.7500 0.6335 0.2331
Sn3 0.7500 0.1999 0.5881
Sn4 0.2500 0.4249 0.0836
Sn5 0.7500 0.7120 0.5881
Sn6 0.7500 0.5751 0.9164
Sn7 0.2500 0.9914 0.0836
La2 0.2500 0.3665 0.7669
Sn8 0.2500 0.2880 0.4119
# Density of states at the Fermi level in states/eV/atom: 0.377



Model ii:
# GGA-PBE LaSn4Hg, relaxed
data_LaSn4Hg
_chemical_formula_sum 'La1 Sn4 Hg1'
_space_group_name_H-M_alt 'P 1'
_space_group_IT_number 1
_cell_length_a 6.2238
_cell_length_b 6.2238
_cell_length_c 6.2238
_cell_angle_alpha 60.00
_cell_angle_beta 60.00
_cell_angle_gamma 60.00
loop_
_space_group_symop_operation_xyz
'x,y,z'
loop_
_atom_site_label
_atom_site_fract_x
_atom_site_fract_y
_atom_site_fract_z
Sn1 0.1254 0.6249 0.6249
La1 0.2500 0.2500 0.2500
Sn2 0.6249 0.6249 0.1254
Sn3 0.6249 0.1254 0.6249
Hg1 0.0000 0.0000 0.0000
Sn4 0.6249 0.6249 0.6249
# Density of states at the Fermi level in states/eV/atom: 0.378



How far above the most stable structure does each one sit? In meV per atom: model i 0; model ii 49.



Model i:
# GGA-PBE La2SnHg2, relaxed
data_La2SnHg2
_chemical_formula_sum 'La4 Sn2 Hg4'
_space_group_name_H-M_alt 'P 1'
_space_group_IT_number 1
_cell_length_a 4.7790
_cell_length_b 6.3528
_cell_length_c 10.7724
_cell_angle_alpha 89.42
_cell_angle_beta 77.18
_cell_angle_gamma 67.91
loop_
_space_group_symop_operation_xyz
'x,y,z'
loop_
_atom_site_label
_atom_site_fract_x
_atom_site_fract_y
_atom_site_fract_z
La1 0.9195 0.2611 0.8999
La2 0.0805 0.7389 0.1001
Sn1 0.6046 0.1115 0.6794
Sn2 0.3954 0.8885 0.3206
Hg1 0.6534 0.8034 0.8898
Hg2 0.0928 0.2646 0.5498
Hg3 0.9072 0.7354 0.4502
Hg4 0.3466 0.1966 0.1102
La3 0.3251 0.6848 0.6650
La4 0.6749 0.3152 0.3350
# Density of states at the Fermi level in states/eV/atom: 0.795



Model ii:
# GGA-PBE La2SnHg2, relaxed
data_La2SnHg2
_chemical_formula_sum 'La4 Sn2 Hg4'
_space_group_name_H-M_alt 'P 1'
_space_group_IT_number 1
_cell_length_a 8.0167
_cell_length_b 8.0167
_cell_length_c 4.7009
_cell_angle_alpha 90.00
_cell_angle_beta 90.00
_cell_angle_gamma 90.00
loop_
_space_group_symop_operation_xyz
'x,y,z'
loop_
_atom_site_label
_atom_site_fract_x
_atom_site_fract_y
_atom_site_fract_z
Sn1 0.0000 0.0000 0.0000
La1 0.6737 0.8263 0.5000
Hg1 0.1288 0.3712 0.0000
La2 0.8263 0.3263 0.5000
La3 0.3263 0.1737 0.5000
Sn2 0.5000 0.5000 0.0000
La4 0.1737 0.6737 0.5000
Hg2 0.6288 0.1288 0.0000
Hg3 0.3712 0.8712 0.0000
Hg4 0.8712 0.6288 0.0000
# Density of states at the Fermi level in states/eV/atom: 0.812



How far above the most stable structure does each one sit? In meV per atom: model i 0; model ii 20.



Model i:
# GGA-PBE La2SnHg2, relaxed
data_La2SnHg2
_chemical_formula_sum 'La4 Sn2 Hg4'
_space_group_name_H-M_alt 'P 1'
_space_group_IT_number 1
_cell_length_a 8.9101
_cell_length_b 8.9101
_cell_length_c 3.9801
_cell_angle_alpha 90.00
_cell_angle_beta 90.00
_cell_angle_gamma 90.00
loop_
_space_group_symop_operation_xyz
'x,y,z'
loop_
_atom_site_label
_atom_site_fract_x
_atom_site_fract_y
_atom_site_fract_z
La1 0.3342 0.8342 0.0000
Hg1 0.6333 0.8667 0.5000
Sn1 0.5000 0.5000 0.0000
Hg2 0.1333 0.6333 0.5000
Sn2 0.0000 0.0000 0.0000
La2 0.6658 0.1658 0.0000
La3 0.8342 0.6658 0.0000
Hg3 0.3667 0.1333 0.5000
La4 0.1658 0.3342 0.0000
Hg4 0.8667 0.3667 0.5000
# Density of states at the Fermi level in states/eV/atom: 0.839



Model ii:
# GGA-PBE La2SnHg2, relaxed
data_La2SnHg2
_chemical_formula_sum 'La2 Sn1 Hg2'
_space_group_name_H-M_alt 'P 1'
_space_group_IT_number 1
_cell_length_a 4.2618
_cell_length_b 4.2618
_cell_length_c 9.0310
_cell_angle_alpha 76.35
_cell_angle_beta 76.35
_cell_angle_gamma 90.00
loop_
_space_group_symop_operation_xyz
'x,y,z'
loop_
_atom_site_label
_atom_site_fract_x
_atom_site_fract_y
_atom_site_fract_z
La1 0.4067 0.4067 0.1866
Hg1 0.2500 0.7500 0.5000
Hg2 0.7500 0.2500 0.5000
La2 0.5933 0.5933 0.8134
Sn1 0.0000 0.0000 0.0000
# Density of states at the Fermi level in states/eV/atom: 0.973



How far above the most stable structure does each one sit? In meV per atom: model i 15; model ii 0.